[1]
DySc3Se4 | PBE-GGA | relaxed

Summary:
The value obtained for the density of states at the Fermi level is 6.259 states/eV/cell. Its space group is Pmn2_1. The value obtained for the raw formation energy is -1.3107 eV/atom. The total magnetization is 2.01 μB per formula unit. The energy above the most stable polymorph in this dataset comes out at 311 meV/atom.

Cell lengths 7.390, 7.288, 8.289 Å; angles 90.00, 90.00, 90.00 degrees
Element x y z (fractional)
Se  0.210  0.832  0.000
Sc  0.466  0.298  0.294
Se  0.115  0.362  0.238
Se  0.095  0.796  0.500
Se  0.615  0.638  0.738
Sc  0.578  0.840  0.000
Sc  0.966  0.702  0.206
Se  0.710  0.168  0.500
Sc  0.466  0.298  0.706
Se  0.615  0.638  0.262
Se  0.595  0.204  0.000
Dy  0.970  0.130  0.000
Sc  0.966  0.702  0.794
Dy  0.470  0.870  0.500
Se  0.115  0.362  0.762
Sc  0.078  0.160  0.500

[2]
Y2ScW | PBE-GGA | relaxed

Summary:
The value obtained for the density of states at the Fermi level is 3.437 states/eV/cell. Its space group is P4mm. The total magnetization is 0.00 μB per formula unit. The formation energy is 1.21 eV/f.u. The energy above the most stable polymorph in this dataset comes out at 0 meV/atom.

Cell lengths 3.631, 3.631, 7.740 Å; angles 90.00, 90.00, 90.00 degrees
Element x y z (fractional)
Y  0.000  0.000  0.944
Sc  0.000  0.000  0.552
Y  0.500  0.500  0.298
W  0.500  0.500  0.706

[3]
LiBe2Al2 | PBE-GGA | relaxed

Summary:
The value obtained for the density of states at the Fermi level is 1.338 states/eV/cell. Its space group is I4/mmm. The total magnetization is 0.00 μB per formula unit. The formation energy is 1.09 eV/f.u. The energy above the most stable polymorph in this dataset comes out at 88 meV/atom.

Cell lengths 3.467, 3.467, 6.442 Å; angles 74.39, 74.39, 90.00 degrees
Element x y z (fractional)
Al  0.609  0.609  0.782
Be  0.250  0.750  0.500
Li  0.000  0.000  0.000
Be  0.750  0.250  0.500
Al  0.391  0.391  0.218

[4]
K3Hg2Bi4Pb2 | PBE-GGA | relaxed

Summary:
The value obtained for the density of states at the Fermi level is 2.504 states/eV/cell. Its space group is P-3m1. The total magnetization is 0.00 μB per formula unit. The formation energy is -2.35 eV/f.u.

Cell lengths 5.152, 5.152, 18.908 Å; angles 90.00, 90.00, 120.00 degrees
Element x y z (fractional)
Pb  0.333  0.667  0.558
Hg  0.333  0.667  0.149
K  0.000  0.000  0.266
Hg  0.667  0.333  0.851
Bi  0.333  0.667  0.870
Pb  0.667  0.333  0.442
Bi  0.667  0.333  0.130
K  0.000  0.000  0.734
Bi  0.667  0.333  0.614
K  0.000  0.000  0.000
Bi  0.333  0.667  0.386

[5]
MnZn2Au | PBE-GGA | relaxed

Summary:
The value obtained for the density of states at the Fermi level is 1.138 states/eV/cell. Its space group is F-43m. The total magnetization is 3.71 μB per formula unit. The formation energy is -0.27 eV/f.u.

Cell lengths 4.426, 4.426, 4.426 Å; angles 60.00, 60.00, 60.00 degrees
Element x y z (fractional)
Zn  0.750  0.750  0.750
Zn  0.000  0.000  0.000
Mn  0.250  0.250  0.250
Au  0.500  0.500  0.500

[6]
CePrSm2 | PBE-GGA | relaxed

Summary:
The value obtained for the density of states at the Fermi level is 8.647 states/eV/cell. Its space group is P4/mmm. The total magnetization is 0.73 μB per formula unit. The formation energy is 0.32 eV/f.u. The energy above the most stable polymorph in this dataset comes out at 19 meV/atom.

Cell lengths 5.105, 5.122, 5.122 Å; angles 90.00, 90.00, 90.00 degrees
Element x y z (fractional)
Ce  0.500  0.500  0.500
Pr  0.500  0.000  0.000
Sm  0.000  0.000  0.500
Sm  0.000  0.500  0.000

[7]
Pm3YPa3N8 | PBE-GGA | relaxed

Summary:
The value obtained for the density of states at the Fermi level is 4.236 states/eV/cell. Its space group is R-3m. The value obtained for the raw formation energy is -1.4646 eV/atom. The total magnetization is 0.00 μB per formula unit.

Cell lengths 7.045, 7.046, 7.065 Å; angles 119.91, 90.00, 120.00 degrees
Element x y z (fractional)
Pm  0.000  0.000  0.000
Pm  0.500  0.500  0.000
Pa  0.500  0.500  0.500
N  0.732  0.969  0.706
Y  0.000  0.000  0.500
N  0.258  0.516  0.275
Pa  0.000  0.500  0.500
N  0.237  0.474  0.706
N  0.237  0.969  0.706
Pm  0.000  0.500  0.000
N  0.268  0.031  0.294
N  0.763  0.031  0.294
N  0.742  0.484  0.725
Pa  0.500  0.000  0.500
N  0.763  0.526  0.294

[8]
La3YP4 | PBE-GGA | relaxed

Summary:
The value obtained for the density of states at the Fermi level is 2.285 states/eV/cell. Its space group is P2/c. The total magnetization is 0.00 μB per formula unit. The formation energy is -12.59 eV/f.u.

Cell lengths 7.296, 7.294, 8.434 Å; angles 90.00, 90.00, 109.50 degrees
Element x y z (fractional)
La  0.250  0.500  0.876
P  0.501  0.241  0.880
P  0.495  0.246  0.370
La  0.250  0.500  0.373
P  0.001  0.241  0.120
La  0.750  0.500  0.124
Y  0.250  0.000  0.123
P  0.005  0.754  0.370
P  0.499  0.759  0.120
La  0.250  0.000  0.627
La  0.750  0.000  0.373
La  0.750  0.500  0.627
P  0.995  0.246  0.630
Y  0.750  0.000  0.877
P  0.505  0.754  0.630
P  0.999  0.759  0.880

[9]
Ru2PtCl | PBE-GGA | relaxed

Summary:
The value obtained for the density of states at the Fermi level is 5.305 states/eV/cell. Its space group is Pmmm. The value obtained for the raw formation energy is 0.8494 eV/atom. The total magnetization is 0.32 μB per formula unit. The energy above the most stable polymorph in this dataset comes out at 562 meV/atom.

Cell lengths 2.754, 4.830, 4.627 Å; angles 90.00, 90.00, 90.00 degrees
Element x y z (fractional)
Pt  0.000  0.500  0.500
Ru  0.000  0.000  0.000
Cl  0.500  0.000  0.500
Ru  0.500  0.500  0.000

[10]
VTc2Bi | PBE-GGA | relaxed

Summary:
The value obtained for the density of states at the Fermi level is 9.765 states/eV/cell. Its space group is I-42d. The total magnetization is 1.18 μB per formula unit. The formation energy is 3.06 eV/f.u.

Cell lengths 4.117, 4.117, 9.488 Å; angles 77.47, 77.47, 90.00 degrees
Element x y z (fractional)
Tc  0.547  0.125  0.250
Tc  0.375  0.453  0.750
Bi  0.000  0.000  0.000
Bi  0.750  0.250  0.500
V  0.250  0.750  0.500
Tc  0.875  0.797  0.750
Tc  0.203  0.625  0.250
V  0.500  0.500  0.000

[11]
SiAg2Cl | PBE-GGA | relaxed

Summary:
The value obtained for the density of states at the Fermi level is 1.344 states/eV/cell. Its space group is Cmmm. The value obtained for the raw formation energy is 0.1196 eV/atom. The total magnetization is 0.00 μB per formula unit. The energy above the most stable polymorph in this dataset comes out at 101 meV/atom.

Cell lengths 3.198, 3.198, 7.800 Å; angles 90.00, 90.00, 108.97 degrees
Element x y z (fractional)
Ag  0.000  0.000  0.985
Cl  0.500  0.500  0.250
Si  0.500  0.500  0.750
Ag  0.000  0.000  0.515

[12]
SrFeMo2 | PBE-GGA | relaxed

Summary:
The value obtained for the density of states at the Fermi level is 10.638 states/eV/cell. Its space group is I-42d. The total magnetization is 0.86 μB per formula unit. The formation energy is 4.78 eV/f.u. The energy above the most stable polymorph in this dataset comes out at 585 meV/atom.

Cell lengths 4.883, 4.883, 8.997 Å; angles 74.26, 74.26, 90.00 degrees
Element x y z (fractional)
Mo  0.359  0.125  0.250
Sr  0.000  0.000  0.000
Mo  0.375  0.641  0.750
Mo  0.875  0.609  0.750
Mo  0.391  0.625  0.250
Fe  0.250  0.750  0.500
Fe  0.500  0.500  0.000
Sr  0.750  0.250  0.500